Material: Ba3UCo2O9
Method: DFT, PBE+U
State: optimized geometry

Lattice parameters (Å, degrees): 5.8128 5.8128 7.2528 90.00 90.00 120.00
Sites, in units of the cell vectors:
1 Ba 0.3333 0.6667 0.6928
2 Ba 0.0000 0.0000 0.0000
3 Ba 0.6667 0.3333 0.3072
4 U 0.0000 0.0000 0.5000
5 Co 0.3333 0.6667 0.1542
6 Co 0.6667 0.3333 0.8458
7 O 0.8324 0.1676 0.6689
8 O 0.8324 0.6648 0.6689
9 O 0.3352 0.1676 0.6689
10 O 0.6648 0.8324 0.3311
11 O 0.1676 0.3352 0.3311
12 O 0.1676 0.8324 0.3311
13 O 0.5000 0.0000 0.0000
14 O 0.0000 0.5000 0.0000
15 O 0.5000 0.5000 0.0000

Calculated values
- Crystal system: trigonal
- Total magnetization: 4.52 μB per formula unit
- E_tot: -7.09 eV per atom
- Density of states at the Fermi level: 0.385 states/eV per atom